Record 1
{"formula": "BaLiGdPb", "functional": "PBE", "state": "optimized geometry", "lattice_angstrom": [[5.725, 0.000, 0.000], [2.863, 4.958, 0.000], [2.863, 1.653, 4.675]], "species": ["Li", "Ba", "Pb", "Gd"], "fractional_positions": [[0.000, 0.000, 0.000], [0.750, 0.750, 0.750], [0.500, 0.500, 0.500], [0.250, 0.250, 0.250]], "delta_e_f_ev_per_fu": -0.9}

Record 2
{"formula": "BaLiGdTl", "functional": "PBE", "state": "optimized geometry", "lattice_angstrom": [[5.714, 0.000, 0.000], [2.857, 4.949, 0.000], [2.857, 1.650, 4.666]], "species": ["Ba", "Li", "Tl", "Gd"], "fractional_positions": [[0.250, 0.250, 0.250], [0.000, 0.000, 0.000], [0.500, 0.500, 0.500], [0.750, 0.750, 0.750]], "delta_e_f_ev_per_fu": -0.4}

Record 3
{"formula": "BaGd2Lu", "functional": "PBE", "state": "optimized geometry", "lattice_angstrom": [[3.735, 0.000, 0.000], [0.000, 3.735, 0.000], [0.000, 0.000, 10.590]], "species": ["Gd", "Lu", "Gd", "Ba"], "fractional_positions": [[0.000, 0.000, 0.789], [0.500, 0.500, 0.000], [0.000, 0.000, 0.211], [0.500, 0.500, 0.500]], "delta_e_f_ev_per_fu": 0.6}

Record 4
{"formula": "BaGdLu", "functional": "PBE", "state": "optimized geometry", "lattice_angstrom": [[-1.571, 1.154, -3.224], [2.207, -2.371, -1.924], [-5.972, -5.202, 3.249]], "species": ["Ba", "Gd", "Lu"], "fractional_positions": [[0.003, 0.003, 0.005], [0.316, 0.316, 0.631], [0.682, 0.682, 0.364]], "delta_e_f_ev_per_fu": 0.6}

Record 5
{"formula": "Ba2GdMg", "functional": "PBE", "state": "optimized geometry", "lattice_angstrom": [[-2.148, -1.336, -3.228], [-2.434, -2.146, 2.508], [-6.282, 8.094, 0.831]], "species": ["Ba", "Ba", "Gd", "Mg"], "fractional_positions": [[0.000, 0.000, 0.229], [0.000, 0.000, 0.771], [0.500, 0.500, 0.500], [0.500, 0.500, 0.000]], "relative_energy_mev_per_atom": 0, "delta_e_f_ev_per_fu": 0.5}

Record 6
{"formula": "BaGdMg", "functional": "PBE", "state": "optimized geometry", "lattice_angstrom": [[4.008, 0.000, 0.000], [0.000, 4.008, 0.000], [-2.004, -2.004, 7.082]], "species": ["Ba", "Gd", "Mg"], "fractional_positions": [[0.013, 0.013, 0.025], [0.303, 0.303, 0.606], [0.684, 0.684, 0.369]], "delta_e_f_ev_per_fu": 0.2}

Record 7
{"formula": "Ba2GdMg", "functional": "PBE", "state": "optimized geometry", "lattice_angstrom": [[3.822, 0.000, 0.000], [1.911, 3.310, 0.000], [1.911, 1.103, 13.320]], "species": ["Ba", "Mg", "Gd", "Ba"], "fractional_positions": [[0.091, 0.091, 0.728], [0.500, 0.500, 0.500], [0.000, 0.000, 0.000], [0.909, 0.909, 0.272]], "relative_energy_mev_per_atom": 212, "delta_e_f_ev_per_fu": 1.3}

Record 8
{"formula": "BaGdMgPb", "functional": "PBE", "state": "optimized geometry", "lattice_angstrom": [[-2.522, 0.351, -5.159], [2.241, -2.806, -4.495], [-2.724, -4.571, -2.187]], "species": ["Pb", "Mg", "Gd", "Ba"], "fractional_positions": [[0.500, 0.500, 0.500], [0.000, 0.000, 0.000], [0.750, 0.750, 0.750], [0.250, 0.250, 0.250]], "delta_e_f_ev_per_fu": -0.9}